First-principles (PBE-GGA) data for an optimized crystal structure of Na4Pr3TlO8, as listed in Alexandria.

Cell: 7.0173 7.0173 7.0173 Å, 61.08 61.08 61.08°
Closest atoms and distances in Å follow each position.
Atoms (fractional coordinates):
Na (0.0000, 0.0000, 0.0000)  6 O 2.60
Na (0.0000, 0.5000, 0.5000)  6 O 2.58-2.62
Na (0.5000, 0.0000, 0.5000)  6 O 2.58-2.62
Na (0.5000, 0.5000, 0.0000)  6 O 2.58-2.62
Pr (0.0000, 0.0000, 0.5000)  6 O 2.39-2.43
Pr (0.0000, 0.5000, 0.0000)  6 O 2.39-2.43
Pr (0.5000, 0.0000, 0.0000)  6 O 2.39-2.43
Tl (0.5000, 0.5000, 0.5000)  6 O 2.41
O (0.2384, 0.2384, 0.2384)  3 Pr 2.39, 3 Na 2.62
O (0.2448, 0.7403, 0.7403)  1 Tl 2.41, 2 Pr 2.43, 3 Na 2.58-2.60
O (0.2597, 0.2597, 0.7552)  1 Tl 2.41, 2 Pr 2.43, 3 Na 2.58-2.60
O (0.2597, 0.7552, 0.2597)  1 Tl 2.41, 2 Pr 2.43, 3 Na 2.58-2.60
O (0.7403, 0.2448, 0.7403)  1 Tl 2.41, 2 Pr 2.43, 3 Na 2.58-2.60
O (0.7403, 0.7403, 0.2448)  1 Tl 2.41, 2 Pr 2.43, 3 Na 2.58-2.60
O (0.7552, 0.2597, 0.2597)  1 Tl 2.41, 2 Pr 2.43, 3 Na 2.58-2.60
O (0.7616, 0.7616, 0.7616)  3 Pr 2.39, 3 Na 2.62

Results
formation energy from raw total energies: -2164.7 meV/atom
magnetization: 0.0 μB/f.u.